# 1
The following is a DFT calculation (PBE-GGA) of a relaxed FeCo2CuH crystal.

POSCAR file:
```
FeCo2CuH
1.0
-1.1862 -3.3330 -0.7751
2.5286 -1.4065 2.1783
-2.3119 0.1728 2.7952
H Co Fe Cu
1 2 1 1
Cartesian
0.0000 0.0000 0.0000
1.2643 -0.7033 1.0892
-0.5931 -1.6665 -0.3876
-1.1559 0.0864 1.3976
-0.4848 -2.2834 2.0992
```

Calculated values
As for the uncorrected energy: -5.9666 eV/atom. The energy relative to the lowest polymorph listed for this composition comes out at 0 meV/atom. The value obtained for the density of states at the Fermi level is 3.1 states/eV/f.u.



# 2
The following is a DFT calculation (PBE-GGA) of a relaxed CaYEr2Te4 crystal.

POSCAR file:
```
CaYEr2Te4
1.0
4.3489 0.0000 0.0000
0.0000 7.5869 0.1558
0.0000 -2.6244 7.0958
Ca Y Er Te
1 1 2 4
Cartesian
0.0000 0.0000 0.0000
2.1745 3.7934 0.0779
2.1745 -1.3122 3.5479
0.0000 2.4812 3.6258
2.1745 1.2476 1.8539
2.1745 3.7149 5.3977
0.0000 -0.0674 5.3285
0.0000 5.0299 1.9231
```

Calculated values
As for the uncorrected energy: -5.1072 eV/atom. As for the uncorrected formation energy: -1337.5 meV/atom. The value obtained for the density of states at the Fermi level is 3.7 states/eV/f.u.



# 3
The following is a DFT calculation (PBE-GGA) of a relaxed Np2Ge8Os crystal.

POSCAR file:
```
Np2Ge8Os
1.0
-1.2948 -2.0346 3.5612
3.7737 0.8717 1.8701
-4.1430 9.5100 3.9269
Np Ge Os
2 8 1
Cartesian
-2.5909 0.9407 4.7897
-2.8468 6.5347 2.6984
-0.1846 5.1909 2.8985
-2.7189 3.7377 3.7440
-0.0453 2.3678 3.9333
-1.6187 5.9793 5.4248
0.0674 -0.3940 4.9934
-1.1721 0.1873 2.2779
-1.7314 8.7412 4.3648
-4.2656 7.2881 5.2101
0.0000 0.0000 0.0000
```

Calculated values
As for the uncorrected energy: -6.8762 eV/atom. The energy relative to the elements comes out at -144.3 meV/atom. The value obtained for the density of states at the Fermi level is 20.7 states/eV/f.u.



# 4
The following is a DFT calculation (PBE-GGA) of a relaxed BeAgRh2 crystal.

POSCAR file:
```
BeAgRh2
1.0
-1.1009 -2.5340 -0.4075
2.5305 -1.1457 0.2881
-1.0571 -0.6304 6.7767
Be Rh Ag
1 2 1
Cartesian
-0.0780 -2.3127 5.0229
-0.9990 -0.5958 6.4048
-0.5865 -0.3498 3.7603
0.4506 -1.9975 1.6345
```

Calculated values
As for the uncorrected energy: -5.4608 eV/atom. The energy relative to the elements comes out at -140.7 meV/atom. The value obtained for the density of states at the Fermi level is 6.0 states/eV/f.u.



- Number 1 is which compound?
  FeCo2CuH



- Among the records above, which one has the highest density of states at the Fermi level?
  Np2Ge8Os